Record 1
Tm3Pd5: relaxed, PBE.

The space group is Cmmm (No. 65) and the conventional cell measures 7.130, 9.062 and 4.742 Å, with angles of 90.00, 90.00 and 90.00 degrees. The distinct sites, in fractional coordinates, are Tm at (0.000, 0.000, 0.000), Tm at (0.000, 0.294, 0.500), Pd at (0.000, 0.500, 0.000), Pd at (0.207, 0.000, 0.500) and Pd at (0.250, 0.250, 0.000).

The value obtained for the total moment is 0.0 Bohr magnetons per cell. The calculation puts the calculated formation energy at -0.921 eV per atom. Its crystal system is orthorhombic.

---

Record 2
Tm3Pd: relaxed, PBE.

The space group is Immm (No. 71) and the conventional cell measures 3.615, 5.245 and 10.785 Å, with angles of 90.00, 90.00 and 90.00 degrees. The distinct sites, in fractional coordinates, are Tm at (0.000, 0.000, 0.000), Tm at (0.000, 0.500, 0.204) and Pd at (0.000, 0.000, 0.500).

The value obtained for the total moment is 0.0 Bohr magnetons per cell. The calculation puts the calculated formation energy at -0.446 eV per atom. Its crystal system is orthorhombic.

---

Record 3
Tm5Pd: relaxed, PBE.

The space group is Cmmm (No. 65) and the conventional cell measures 3.757, 15.963 and 5.355 Å, with angles of 90.00, 90.00 and 90.00 degrees. The distinct sites, in fractional coordinates, are Tm at (0.000, 0.000, 0.000), Tm at (0.000, 0.144, 0.500), Tm at (0.000, 0.330, 0.000) and Pd at (0.000, 0.500, 0.500).

The value obtained for the total moment is 0.0 Bohr magnetons per cell. The calculation puts the calculated formation energy at -0.159 eV per atom. Its crystal system is orthorhombic.

---

Record 4
Tm5Pd2: relaxed, PBE.

The space group is C2/c (No. 15) and the conventional cell measures 16.212, 6.479 and 6.973 Å, with angles of 90.00, 96.59 and 90.00 degrees. The distinct sites, in fractional coordinates, are Tm at (0.000, 0.067, 0.250), Tm at (0.095, 0.383, 0.930), Tm at (0.221, 0.066, 0.308) and Pd at (0.111, 0.206, 0.567).

The value obtained for the total moment is 0.0 Bohr magnetons per cell. The calculation puts the calculated formation energy at -0.554 eV per atom. Its crystal system is monoclinic.

---

Record 5
Tm2Pd3: relaxed, PBE.

The space group is R-3m (No. 166, hexagonal axes) and the conventional cell measures 4.3805, 4.3805 and 19.4188 Å, with angles of 90.00, 90.00 and 120.00 degrees. The distinct sites, in fractional coordinates, are Tm at (0.0000, 0.0000, 0.0906), Pd at (0.0000, 0.0000, 0.3562) and Pd at (0.0000, 0.0000, 0.5000).

The value obtained for the total moment is 0.0 Bohr magnetons per cell. The calculation puts the calculated formation energy at -0.789 eV per atom. Its crystal system is trigonal.

---

Record 6
TmPd: relaxed, PBE.

The space group is Pm-3m (No. 221) and the conventional cell measures 3.465, 3.465 and 3.465 Å, with angles of 90.00, 90.00 and 90.00 degrees. The distinct sites, in fractional coordinates, are Tm at (0.000, 0.000, 0.000) and Pd at (0.500, 0.500, 0.500).

The value obtained for the total moment is 0.0 Bohr magnetons per cell. The calculation puts the calculated formation energy at -0.930 eV per atom. Its crystal system is cubic.

---

Record 7
Tm2Pd3: relaxed, PBE.

The space group is Ibam (No. 72) and the conventional cell measures 5.903, 12.918 and 5.646 Å, with angles of 90.00, 90.00 and 90.00 degrees. The distinct sites, in fractional coordinates, are Tm at (0.227, 0.162, 0.000), Pd at (0.000, 0.000, 0.250) and Pd at (0.191, 0.381, 0.000).

The value obtained for the total moment is 0.0 Bohr magnetons per cell. The calculation puts the calculated formation energy at -0.774 eV per atom. Its crystal system is orthorhombic.

---

Record 8
Tm4Pd3: relaxed, PBE.

The space group is R-3m (No. 166, hexagonal axes) and the conventional cell measures 4.8576, 4.8576 and 23.8461 Å, with angles of 90.00, 90.00 and 120.00 degrees. The distinct sites, in fractional coordinates, are Tm at (0.0000, 0.0000, 0.1244), Tm at (0.0000, 0.0000, 0.3746), Pd at (0.0000, 0.0000, 0.2506) and Pd at (0.0000, 0.0000, 0.5000).

The value obtained for the total moment is 0.0 Bohr magnetons per cell. The calculation puts the calculated formation energy at -0.770 eV per atom. Its crystal system is trigonal.